Record 1
DFT (PBE) results for a relaxed structure of NdDyCo.

The calculation puts the formation energy at -0.0604 eV/atom. The value obtained for the magnetic moment is 0.0 μB/f.u. The value obtained for the offset from the most stable computed form is 0.12 eV per formula unit.

Lattice parameters (Å, degrees): 6.1345 3.7438 6.9228 90.00 90.20 90.00
Closest atoms and distances in Å follow each position.
Space group P2_1/m (No. 11)
Inequivalent atoms, fractional coordinates:
1 Nd 0.1433 0.2500 0.3138 x2  3 Co 2.82-3.07
2 Dy 0.3447 0.2500 0.8121 x2  3 Co 2.71-2.89
3 Co 0.3867 0.7500 0.5309 x2  2 Co 2.37

Record 2
DFT (PBE) results for a relaxed structure of La3MgCd.

The calculation puts the formation energy at -0.1642 eV/atom. The value obtained for the magnetic moment is 0.0 μB/f.u. The value obtained for the offset from the most stable computed form is 0.00 eV per formula unit.

Lattice parameters (Å, degrees): 5.5696 20.6665 5.5633 90.00 90.00 90.00
Closest atoms and distances in Å follow each position.
Space group Cmcm (No. 63)
Inequivalent atoms, fractional coordinates:
1 La 0.0000 0.0597 0.2500 x4  2 Mg 3.38, 2 Cd 3.40, 4 La 3.72-3.74
2 La 0.0000 0.2500 0.2500 x4  4 Cd 3.42, 4 Mg 3.43
3 La 0.0000 0.4391 0.2500 x4  2 Mg 3.37, 2 Cd 3.38, 4 La 3.74-3.75
4 Mg 0.0000 0.1529 0.7500 x4  8 La 3.37-3.43
5 Cd 0.0000 0.3462 0.7500 x4  8 La 3.38-3.42

Which formula does entry 2 have? La3MgCd